# MnIn2W | Alexandria | PBE-GGA | optimized geometry
data_MnIn2W
_cell_length_a 5.327
_cell_length_b 5.327
_cell_length_c 5.327
_cell_angle_alpha 135.49
_cell_angle_beta 135.49
_cell_angle_gamma 64.78
_space_group_name_H-M_alt 'P 1'
_space_group_IT_number 1
loop_
_space_group_symop_operation_xyz
'x,y,z'
loop_
_atom_site_label
_atom_site_type_symbol
_atom_site_fract_x
_atom_site_fract_y
_atom_site_fract_z
In1 In 0.250 0.750 0.500
In2 In 0.000 0.000 0.000
W1 W 0.750 0.250 0.500
Mn1 Mn 0.500 0.500 0.000
# M_tot   3.578 μB per formula unit
# Space-group type   No. 119
# Formation energy   0.571 eV/atom
# Fermi-level density of states   1.023 states/eV per atom
# Crystal system   tetragonal
# E above lowest polymorph   0.249 eV per atom

# SrTmHg2 | Alexandria | PBE-GGA | optimized geometry
data_SrTmHg2
_cell_length_a 3.812
_cell_length_b 3.812
_cell_length_c 7.713
_cell_angle_alpha 90.00
_cell_angle_beta 90.00
_cell_angle_gamma 90.00
_space_group_name_H-M_alt 'P 1'
_space_group_IT_number 1
loop_
_space_group_symop_operation_xyz
'x,y,z'
loop_
_atom_site_label
_atom_site_type_symbol
_atom_site_fract_x
_atom_site_fract_y
_atom_site_fract_z
Hg1 Hg 0.000 0.000 0.217
Hg2 Hg 0.000 0.000 0.783
Tm1 Tm 0.500 0.500 0.000
Sr1 Sr 0.500 0.500 0.500
# M_tot   0.000 μB per formula unit
# Space-group type   No. 123
# Formation energy   -0.497 eV/atom
# Fermi-level density of states   0.646 states/eV per atom
# Crystal system   tetragonal

# Pa2Nb2S7 | Alexandria | PBE-GGA | optimized geometry
data_Pa2Nb2S7
_cell_length_a 3.675
_cell_length_b 8.221
_cell_length_c 8.221
_cell_angle_alpha 60.96
_cell_angle_beta 77.08
_cell_angle_gamma 77.08
_space_group_name_H-M_alt 'P 1'
_space_group_IT_number 1
loop_
_space_group_symop_operation_xyz
'x,y,z'
loop_
_atom_site_label
_atom_site_type_symbol
_atom_site_fract_x
_atom_site_fract_y
_atom_site_fract_z
Nb1 Nb 0.500 0.316 0.684
Nb2 Nb 0.000 0.791 0.209
S1 S 0.500 0.011 0.989
S2 S 0.603 0.492 0.302
S3 S 0.172 0.716 0.940
S4 S 0.828 0.060 0.284
S5 S 0.867 0.420 0.845
S6 S 0.397 0.698 0.508
S7 S 0.133 0.155 0.580
Pa1 Pa 0.261 0.337 0.141
Pa2 Pa 0.739 0.859 0.663
# M_tot   3.606 μB per formula unit
# Formation energy without anion corrections   -12.6 eV/f.u.
# Space-group type   No. 44
# Fermi-level density of states   0.963 states/eV per atom
# Crystal system   orthorhombic

# Nb3OsC | Alexandria | PBE-GGA | optimized geometry
data_Nb3OsC
_cell_length_a 4.268
_cell_length_b 4.268
_cell_length_c 4.268
_cell_angle_alpha 90.00
_cell_angle_beta 90.00
_cell_angle_gamma 90.00
_space_group_name_H-M_alt 'P 1'
_space_group_IT_number 1
loop_
_space_group_symop_operation_xyz
'x,y,z'
loop_
_atom_site_label
_atom_site_type_symbol
_atom_site_fract_x
_atom_site_fract_y
_atom_site_fract_z
Os1 Os 0.500 0.500 0.500
C1 C 0.000 0.000 0.000
Nb1 Nb 0.000 0.500 0.000
Nb2 Nb 0.000 0.000 0.500
Nb3 Nb 0.500 0.000 0.000
# M_tot   0.000 μB per formula unit
# Space-group type   No. 221
# Formation energy   -0.054 eV/atom
# Fermi-level density of states   1.161 states/eV per atom
# Crystal system   cubic
# E above lowest polymorph   0.194 eV per atom

# Sm8Te4As3Pt | Alexandria | PBE-GGA | optimized geometry
data_Sm8Te4As3Pt
_cell_length_a 8.607
_cell_length_b 8.746
_cell_length_c 8.607
_cell_angle_alpha 119.48
_cell_angle_beta 120.00
_cell_angle_gamma 90.00
_space_group_name_H-M_alt 'P 1'
_space_group_IT_number 1
loop_
_space_group_symop_operation_xyz
'x,y,z'
loop_
_atom_site_label
_atom_site_type_symbol
_atom_site_fract_x
_atom_site_fract_y
_atom_site_fract_z
Te1 Te 0.000 0.000 0.000
Te2 Te 0.500 0.000 0.000
Te3 Te 0.500 0.000 0.500
Te4 Te 0.000 0.000 0.500
Sm1 Sm 0.762 0.280 0.018
Sm2 Sm 0.740 0.721 0.480
Sm3 Sm 0.238 0.720 0.476
Sm4 Sm 0.762 0.280 0.524
Sm5 Sm 0.744 0.720 0.982
Sm6 Sm 0.238 0.720 0.982
Sm7 Sm 0.260 0.279 0.520
Sm8 Sm 0.256 0.280 0.018
Pt1 Pt 0.000 0.500 0.000
As1 As 0.000 0.500 0.500
As2 As 0.500 0.500 0.500
As3 As 0.500 0.500 0.000
# M_tot   0.000 μB per formula unit
# Formation energy without anion corrections   -23.1 eV/f.u.
# Space-group type   No. 166
# Fermi-level density of states   0.667 states/eV per atom
# Crystal system   trigonal

# LiCu3Pd4 | Alexandria | PBE-GGA | optimized geometry
data_LiCu3Pd4
_cell_length_a 2.696
_cell_length_b 8.026
_cell_length_c 6.764
_cell_angle_alpha 126.27
_cell_angle_beta 101.50
_cell_angle_gamma 90.00
_space_group_name_H-M_alt 'P 1'
_space_group_IT_number 1
loop_
_space_group_symop_operation_xyz
'x,y,z'
loop_
_atom_site_label
_atom_site_type_symbol
_atom_site_fract_x
_atom_site_fract_y
_atom_site_fract_z
Cu1 Cu 0.000 0.500 0.000
Cu2 Cu 0.792 0.792 0.584
Cu3 Cu 0.208 0.208 0.416
Li1 Li 0.500 0.000 0.000
Pd1 Pd 0.369 0.603 0.738
Pd2 Pd 0.369 0.135 0.738
Pd3 Pd 0.631 0.865 0.262
Pd4 Pd 0.631 0.397 0.262
# M_tot   0.000 μB per formula unit
# Space-group type   No. 12
# Formation energy   -0.075 eV/atom
# Fermi-level density of states   0.640 states/eV per atom
# Crystal system   monoclinic
# E above lowest polymorph   0.132 eV per atom

# RbHg2As | Alexandria | PBE-GGA | optimized geometry
data_RbHg2As
_cell_length_a 5.753
_cell_length_b 5.753
_cell_length_c 10.414
_cell_angle_alpha 73.96
_cell_angle_beta 73.96
_cell_angle_gamma 90.00
_space_group_name_H-M_alt 'P 1'
_space_group_IT_number 1
loop_
_space_group_symop_operation_xyz
'x,y,z'
loop_
_atom_site_label
_atom_site_type_symbol
_atom_site_fract_x
_atom_site_fract_y
_atom_site_fract_z
Rb1 Rb 0.000 0.000 0.000
Rb2 Rb 0.750 0.250 0.500
Hg1 Hg 0.375 0.624 0.750
Hg2 Hg 0.376 0.125 0.250
Hg3 Hg 0.875 0.626 0.750
Hg4 Hg 0.374 0.625 0.250
As1 As 0.250 0.750 0.500
As2 As 0.500 0.500 0.000
# M_tot   0.000 μB per formula unit
# Space-group type   No. 122
# Formation energy   -0.094 eV/atom
# Fermi-level density of states   0.095 states/eV per atom
# Crystal system   tetragonal

# CoSe2Br | Alexandria | PBE-GGA | optimized geometry
data_CoSe2Br
_cell_length_a 6.213
_cell_length_b 5.676
_cell_length_c 6.026
_cell_angle_alpha 92.15
_cell_angle_beta 121.03
_cell_angle_gamma 89.90
_space_group_name_H-M_alt 'P 1'
_space_group_IT_number 1
loop_
_space_group_symop_operation_xyz
'x,y,z'
loop_
_atom_site_label
_atom_site_type_symbol
_atom_site_fract_x
_atom_site_fract_y
_atom_site_fract_z
Se1 Se 0.047 0.556 0.828
Se2 Se 0.190 0.099 0.114
Se3 Se 0.862 0.264 0.456
Se4 Se 0.334 0.602 0.402
Br1 Br 0.546 0.224 0.825
Br2 Br 0.701 0.739 0.138
Co1 Co 0.458 0.407 0.147
Co2 Co 0.956 0.407 0.147
# M_tot   0.000 μB per formula unit
# Formation energy without anion corrections   -0.7 eV/f.u.
# Space-group type   No. 1
# Fermi-level density of states   0.000 states/eV per atom
# Crystal system   triclinic
# E above lowest polymorph   0.043 eV per atom

# Rb2SnSb3 | Alexandria | PBE-GGA | optimized geometry
data_Rb2SnSb3
_cell_length_a 6.842
_cell_length_b 6.842
_cell_length_c 12.129
_cell_angle_alpha 90.00
_cell_angle_beta 90.00
_cell_angle_gamma 120.00
_space_group_name_H-M_alt 'P 1'
_space_group_IT_number 1
loop_
_space_group_symop_operation_xyz
'x,y,z'
loop_
_atom_site_label
_atom_site_type_symbol
_atom_site_fract_x
_atom_site_fract_y
_atom_site_fract_z
Sb1 Sb 0.358 0.179 0.734
Sb2 Sb 0.179 0.821 0.266
Sb3 Sb 0.821 0.179 0.734
Sb4 Sb 0.642 0.821 0.266
Sb5 Sb 0.821 0.642 0.734
Sb6 Sb 0.179 0.358 0.266
Sn1 Sn 0.333 0.667 0.077
Sn2 Sn 0.667 0.333 0.923
Rb1 Rb 0.333 0.667 0.600
Rb2 Rb 0.667 0.333 0.400
Rb3 Rb 0.000 0.000 0.000
Rb4 Rb 0.000 0.000 0.500
# M_tot   0.000 μB per formula unit
# Formation energy without anion corrections   -1.3 eV/f.u.
# Space-group type   No. 164
# Fermi-level density of states   0.265 states/eV per atom
# Crystal system   trigonal
# E above lowest polymorph   0.043 eV per atom

# LaBeSe2 | Alexandria | PBE-GGA | optimized geometry
data_LaBeSe2
_cell_length_a 3.602
_cell_length_b 3.602
_cell_length_c 6.836
_cell_angle_alpha 90.00
_cell_angle_beta 90.00
_cell_angle_gamma 98.34
_space_group_name_H-M_alt 'P 1'
_space_group_IT_number 1
loop_
_space_group_symop_operation_xyz
'x,y,z'
loop_
_atom_site_label
_atom_site_type_symbol
_atom_site_fract_x
_atom_site_fract_y
_atom_site_fract_z
Be1 Be 0.500 0.500 0.250
Se1 Se 0.000 0.000 0.478
Se2 Se 0.000 0.000 0.022
La1 La 0.500 0.500 0.750
# M_tot   0.000 μB per formula unit
# Formation energy without anion corrections   -2.3 eV/f.u.
# Space-group type   No. 65
# Fermi-level density of states   0.463 states/eV per atom
# Crystal system   orthorhombic

# SbPRu | Alexandria | PBE-GGA | optimized geometry
data_SbPRu
_cell_length_a 6.459
_cell_length_b 6.459
_cell_length_c 6.459
_cell_angle_alpha 153.16
_cell_angle_beta 153.16
_cell_angle_gamma 38.32
_space_group_name_H-M_alt 'P 1'
_space_group_IT_number 1
loop_
_space_group_symop_operation_xyz
'x,y,z'
loop_
_atom_site_label
_atom_site_type_symbol
_atom_site_fract_x
_atom_site_fract_y
_atom_site_fract_z
Ru1 Ru 0.641 0.641 0.000
Sb1 Sb 0.316 0.316 0.000
P1 P 0.043 0.043 0.000
# M_tot   0.000 μB per formula unit
# Formation energy without anion corrections   -0.2 eV/f.u.
# Space-group type   No. 107
# Fermi-level density of states   0.483 states/eV per atom
# Crystal system   tetragonal
# E above lowest polymorph   0.284 eV per atom

# MgVCu | Alexandria | PBE-GGA | optimized geometry
data_MgVCu
_cell_length_a 2.890
_cell_length_b 5.040
_cell_length_c 6.887
_cell_angle_alpha 107.44
_cell_angle_beta 91.91
_cell_angle_gamma 103.01
_space_group_name_H-M_alt 'P 1'
_space_group_IT_number 1
loop_
_space_group_symop_operation_xyz
'x,y,z'
loop_
_atom_site_label
_atom_site_type_symbol
_atom_site_fract_x
_atom_site_fract_y
_atom_site_fract_z
Cu1 Cu 0.274 0.706 0.563
Cu2 Cu 0.907 0.970 0.378
Mg1 Mg 0.910 0.951 0.923
Mg2 Mg 0.606 0.326 0.700
V1 V 0.564 0.342 0.268
V2 V 0.276 0.580 0.115
# M_tot   0.000 μB per formula unit
# Space-group type   No. 1
# Formation energy   0.189 eV/atom
# Fermi-level density of states   0.656 states/eV per atom
# Crystal system   triclinic
# E above lowest polymorph   0.079 eV per atom

Which of these has the lowest Fermi-level density of states? CoSe2Br

Which value of Fermi-level density of states does entry 10 give? 0.463 states/eV per atom

Which of these has the highest Fermi-level density of states? Nb3OsC

Look up the Fermi-level density of states of the seventh one. 0.095 states/eV per atom